RePtIN2: relaxed, PBE.

Total energy   -26.663 eV per cell
Total moment   3.0 μB per formula unit
Calculated volume   23.171 Å³/atom
Formation energy (no corrections)   967 kJ/mol of formula units
Crystal system   tetragonal
Relative energy among the computed polymorphs   1226 meV/atom

Cell lengths 3.8098, 3.8098, 7.9822 Å; angles 90.00, 90.00, 90.00 degrees
Positions (direct):
Re  0.0000  0.0000  0.0000
Pt  0.5000  0.5000  0.5000
I  0.5000  0.5000  0.0000
N  0.0000  0.5000  0.5000
N  0.5000  0.0000  0.5000